1.
VASP calculation (GGA-PBE) on an optimized crystal structure of PaPb2O4.

Results
Magnetic moment   0.1429 μB/atom
VASP energy   -6.8758 eV/atom

extended XYZ file:
```
14
Lattice="5.1064 -5.1072 0.0000 -5.1064 0.0000 -5.1072 5.1064 5.1072 0.0000" Properties=species:S:1:pos:R:3 pbc="T T T"
O 1.2516 1.2530 -1.2530
O 3.8049 -1.3006 -1.3006
O -1.3016 1.3006 -3.8066
O 1.3016 -1.3006 -3.8066
O 1.2516 3.8542 -3.8542
O 3.8548 3.8542 -1.2530
O 3.8548 1.2530 -3.8542
O 6.4080 1.3006 -1.3006
Pa 0.0000 0.0000 0.0000
Pa 2.5532 -2.5536 -2.5536
Pb -1.2766 -1.2768 -3.8304
Pb 6.3830 -1.2768 -1.2768
Pb 3.8298 1.2768 -1.2768
Pb 1.2766 1.2768 -3.8304
```

2.
VASP calculation (GGA-PBE) on an optimized crystal structure of HfZrZn2Pt4.

Results
Magnetic moment   0.0006 μB/atom
Energy of formation from the pure elements   -0.853 eV per atom

extended XYZ file:
```
8
Lattice="4.5597 0.0000 0.0000 0.0000 4.5597 0.0000 0.0000 0.0000 6.4641" Properties=species:S:1:pos:R:3 pbc="T T T"
Hf 0.0000 0.0000 3.2321
Pt 2.2798 0.0000 1.6366
Pt 0.0000 2.2798 1.6366
Pt 2.2798 0.0000 4.8275
Pt 0.0000 2.2798 4.8275
Zn 0.0000 0.0000 0.0000
Zn 2.2798 2.2798 3.2321
Zr 2.2798 2.2798 0.0000
```